1.
Material: TaSn2BF
Method: DFT, PBE-GGA
State: optimized geometry

abc: 5.442 4.017 5.442
angles: 90.00 90.00 90.00
Fractional positions:
B 0.500 0.500 0.500
F 0.000 0.500 0.000
Sn 0.500 0.000 0.000
Sn 0.000 0.000 0.500
Ta 0.000 0.000 0.000

Raw total energy = -5.14 eV per atom
Energy relative to the elements, uncorrected = 543 meV per atom
Space-group type = P4/mmm
Fermi-level density of states = 0.9017 states/eV/atom

***

2.
Material: Ca2Pd2Au
Method: DFT, PBE-GGA
State: optimized geometry

abc: 8.323 8.323 3.208
angles: 90.00 90.00 90.00
Fractional positions:
Ca 0.673 0.173 0.000
Ca 0.327 0.827 0.000
Ca 0.173 0.327 0.000
Ca 0.827 0.673 0.000
Au 0.500 0.500 0.000
Au 0.000 0.000 0.000
Pd 0.122 0.622 0.500
Pd 0.378 0.122 0.500
Pd 0.622 0.878 0.500
Pd 0.878 0.378 0.500

Raw total energy = -3.93 eV per atom
Space-group type = P4/mbm
DFT formation energy = -1.988 eV/f.u.
Fermi-level density of states = 0.3733 states/eV/atom
Offset from the most stable computed form = 337 meV per atom

***

3.
Material: PaAl4V
Method: DFT, PBE-GGA
State: optimized geometry

abc: 5.323 5.323 5.323
angles: 60.00 60.00 60.00
Fractional positions:
V 0.250 0.250 0.250
Al 0.126 0.625 0.625
Al 0.625 0.126 0.625
Al 0.625 0.625 0.126
Al 0.625 0.625 0.625
Pa 0.000 0.000 0.000

Raw total energy = -5.62 eV per atom
Space-group type = F-43m
DFT formation energy = -0.105 eV/f.u.
Fermi-level density of states = 1.3002 states/eV/atom

***

4.
Material: ZrNpPa
Method: DFT, PBE-GGA
State: optimized geometry

abc: 6.024 6.024 13.799
angles: 90.00 90.00 120.00
Fractional positions:
Pa 0.500 0.000 0.954
Pa 0.000 0.500 0.620
Pa 0.500 0.500 0.287
Pa 0.000 0.500 0.046
Pa 0.500 0.000 0.380
Pa 0.500 0.500 0.713
Zr 0.000 0.000 0.167
Zr 0.000 0.000 0.500
Zr 0.000 0.500 0.333
Zr 0.500 0.500 0.000
Zr 0.500 0.000 0.667
Zr 0.000 0.000 0.833
Np 0.387 0.774 0.167
Np 0.226 0.613 0.833
Np 0.387 0.613 0.500
Np 0.613 0.226 0.167
Np 0.613 0.387 0.500
Np 0.774 0.387 0.833

Raw total energy = -9.85 eV per atom
Space-group type = P6_222
DFT formation energy = 1.447 eV/f.u.
Fermi-level density of states = 2.4528 states/eV/atom
Offset from the most stable computed form = 194 meV per atom

***

5.
Material: RbNpNiS3
Method: DFT, PBE-GGA
State: optimized geometry

abc: 3.924 9.039 9.261
angles: 110.77 90.00 90.00
Fractional positions:
S 0.750 0.873 0.149
S 0.250 0.816 0.462
S 0.750 0.184 0.538
S 0.750 0.468 0.153
S 0.250 0.532 0.847
S 0.250 0.127 0.851
Ni 0.750 0.919 0.409
Ni 0.250 0.081 0.591
Np 0.750 0.320 0.838
Np 0.250 0.680 0.162
Rb 0.750 0.794 0.755
Rb 0.250 0.206 0.245

Raw total energy = -6.48 eV per atom
Energy relative to the elements, uncorrected = -1130 meV per atom
Space-group type = P2_1/m
Fermi-level density of states = 1.7221 states/eV/atom

***

6.
Material: Pa2FeCo2
Method: DFT, PBE-GGA
State: optimized geometry

abc: 4.775 4.775 4.424
angles: 90.00 90.00 90.00
Fractional positions:
Pa 0.500 0.000 0.212
Pa 0.000 0.500 0.788
Fe 0.000 0.000 0.000
Co 0.500 0.500 0.747
Co 0.500 0.500 0.253

Raw total energy = -8.03 eV per atom
Space-group type = P-4m2
DFT formation energy = 1.512 eV/f.u.
Fermi-level density of states = 0.9790 states/eV/atom